[1]
This record from Alexandria via LeMat-Bulk describes BOsRu3 after structural relaxation. The functional is PBE-GGA.

The structure in extended XYZ format:
```
5
Lattice="-1.844 -0.051 3.585 -3.577 -0.248 -1.844 0.244 -4.024 0.068" Properties=species:S:1:pos:R:3 pbc="T T T"
B 0.000 0.000 0.000
Os -2.589 -2.161 0.905
Ru -0.922 -0.025 1.792
Ru 0.122 -2.012 0.034
Ru -1.788 -0.124 -0.922
```

**Energy above the lowest structure with this stoichiometry**: 0.000 eV/atom
**Uncorrected energy**: -8.8246 eV per atom
**Calculated volume**: 65.5 Å³ per cell
**DFT formation energy**: 322 meV/atom

=====

[2]
This record from Alexandria via LeMat-Bulk describes BOs3Ru after structural relaxation. The functional is PBE-GGA.

The structure in extended XYZ format:
```
5
Lattice="-4.218 1.866 0.604 -1.942 -3.773 -1.907 -0.275 -1.981 4.200" Properties=species:S:1:pos:R:3 pbc="T T T"
Os -0.137 -0.991 2.100
Os -0.971 -1.886 -0.953
Os -2.109 0.933 0.302
Ru 0.000 0.000 0.000
B -3.217 -1.944 1.449
```

**Energy above the lowest structure with this stoichiometry**: 2.783 eV/atom
**Uncorrected energy**: -6.7297 eV per atom
**Calculated volume**: 100.7 Å³ per cell
**DFT formation energy**: 3199 meV/atom

=====

[3]
This record from Alexandria via LeMat-Bulk describes BOs2Ru after structural relaxation. The functional is PBE-GGA.

The structure in extended XYZ format:
```
8
Lattice="-0.250 2.176 4.509 -4.829 1.086 -0.792 -3.926 -2.971 4.002" Properties=species:S:1:pos:R:3 pbc="T T T"
B -5.647 -0.127 2.534
B -2.539 1.631 1.858
Ru 0.000 0.000 0.000
Ru -3.358 0.418 5.185
Os -5.147 -0.938 4.347
Os -7.090 0.559 6.303
Os -1.726 0.619 3.441
Os -4.046 0.342 1.347
```

**Uncorrected energy**: -8.6740 eV per atom
**Calculated volume**: 132.2 Å³ per cell
**DFT formation energy**: 929 meV/atom

=====

[4]
This record from Alexandria via LeMat-Bulk describes BOs2Ru after structural relaxation. The functional is PBE-GGA.

The structure in extended XYZ format:
```
4
Lattice="2.806 0.000 0.000 1.403 2.430 0.000 1.403 0.810 7.296" Properties=species:S:1:pos:R:3 pbc="T T T"
Os 1.403 0.810 1.476
Os 1.403 0.810 5.839
Ru 2.806 1.620 3.607
B 2.806 1.620 0.023
```

**Uncorrected energy**: -9.4281 eV per atom
**Calculated volume**: 49.7 Å³ per cell
**DFT formation energy**: 175 meV/atom

=====

[5]
This record from Alexandria via LeMat-Bulk describes BOsRu after structural relaxation. The functional is PBE-GGA.

The structure in extended XYZ format:
```
6
Lattice="4.016 -0.001 0.000 0.034 4.019 0.000 1.014 1.001 4.378" Properties=species:S:1:pos:R:3 pbc="T T T"
Ru 1.397 1.523 3.784
Ru 3.401 1.531 1.864
Os 1.413 3.533 1.877
Os 3.419 3.544 3.770
B 0.402 2.532 0.280
B 2.381 0.533 0.277
```

**Uncorrected energy**: -9.0800 eV per atom
**Calculated volume**: 70.6 Å³ per cell
**DFT formation energy**: -19 meV/atom

=====

[6]
This record from Alexandria via LeMat-Bulk describes B4OsRu2 after structural relaxation. The functional is PBE-GGA.

The structure in extended XYZ format:
```
7
Lattice="-2.307 -3.275 -0.072 2.106 -1.416 -3.100 3.272 -4.796 1.826" Properties=species:S:1:pos:R:3 pbc="T T T"
Ru 0.725 -2.945 -0.751
Ru 2.346 -6.542 -0.595
Os 0.000 0.000 0.000
B 1.053 -0.708 -1.550
B 1.939 -3.827 0.477
B 1.132 -5.660 -1.823
B -1.154 -1.637 -0.036
```

**Uncorrected energy**: -7.1888 eV per atom
**Calculated volume**: 86.5 Å³ per cell
**DFT formation energy**: 881 meV/atom

=====

[7]
This record from Alexandria via LeMat-Bulk describes BOsRu after structural relaxation. The functional is PBE-GGA.

The structure in extended XYZ format:
```
12
Lattice="4.742 0.000 0.003 0.000 2.862 0.000 -0.069 0.000 10.435" Properties=species:S:1:pos:R:3 pbc="T T T"
B 2.779 0.000 4.247
B 0.376 1.431 7.955
B 2.744 1.431 9.465
B 0.411 0.000 2.738
Ru 1.182 1.431 1.293
Ru 3.574 1.431 2.774
Ru 3.540 0.000 7.991
Ru 1.147 0.000 6.511
Os 1.192 1.431 4.209
Os 1.157 0.000 9.427
Os 3.593 0.000 0.474
Os 3.558 1.431 5.692
```

**Uncorrected energy**: -9.1066 eV per atom
**Calculated volume**: 141.6 Å³ per cell
**DFT formation energy**: -46 meV/atom

=====

[8]
This record from Alexandria via LeMat-Bulk describes BOsRu after structural relaxation. The functional is PBE-GGA.

The structure in extended XYZ format:
```
9
Lattice="2.844 0.000 0.000 -1.422 2.463 0.000 0.000 0.000 15.064" Properties=species:S:1:pos:R:3 pbc="T T T"
Os 1.422 0.821 8.598
Os 0.000 1.642 13.619
Os 0.000 0.000 3.577
Ru 0.000 1.642 10.770
Ru 0.000 0.000 0.727
Ru 1.422 0.821 5.749
B 1.422 0.821 2.184
B 0.000 0.000 12.226
B 0.000 1.642 7.205
```

**Uncorrected energy**: -9.1581 eV per atom
**Calculated volume**: 105.5 Å³ per cell
**DFT formation energy**: -97 meV/atom

=====

[9]
This record from Alexandria via LeMat-Bulk describes BOs3Ru after structural relaxation. The functional is PBE-GGA.

The structure in extended XYZ format:
```
5
Lattice="4.057 0.000 0.000 0.000 4.057 0.000 0.000 0.000 4.057" Properties=species:S:1:pos:R:3 pbc="T T T"
Os 0.000 0.000 2.028
Os 0.000 2.028 0.000
Os 2.028 0.000 0.000
B 0.000 0.000 0.000
Ru 2.028 2.028 2.028
```

**Energy above the lowest structure with this stoichiometry**: 0.000 eV/atom
**Uncorrected energy**: -9.5130 eV per atom
**Calculated volume**: 66.8 Å³ per cell
**DFT formation energy**: 415 meV/atom

=====

[10]
This record from Alexandria via LeMat-Bulk describes B2OsRu2 after structural relaxation. The functional is PBE-GGA.

The structure in extended XYZ format:
```
10
Lattice="6.252 0.000 0.000 0.000 6.252 0.000 0.000 0.000 2.770" Properties=species:S:1:pos:R:3 pbc="T T T"
Os 0.000 0.000 0.000
Os 3.126 3.126 0.000
Ru 2.173 0.953 1.385
Ru 5.299 2.173 1.385
Ru 0.953 4.079 1.385
Ru 4.079 5.299 1.385
B 0.931 2.195 0.000
B 5.321 4.057 0.000
B 2.195 5.321 0.000
B 4.057 0.931 0.000
```

**Uncorrected energy**: -8.5580 eV per atom
**Calculated volume**: 108.3 Å³ per cell
**DFT formation energy**: 69 meV/atom

=====

[11]
This record from Alexandria via LeMat-Bulk describes BSbOsRu2 after structural relaxation. The functional is PBE-GGA.

The structure in extended XYZ format:
```
5
Lattice="4.886 0.000 0.000 0.000 4.046 0.000 0.000 0.000 4.886" Properties=species:S:1:pos:R:3 pbc="T T T"
Os 2.443 2.023 2.443
B 0.000 2.023 0.000
Sb 0.000 0.000 0.000
Ru 0.000 0.000 2.443
Ru 2.443 0.000 0.000
```

**Uncorrected energy**: -5.6444 eV per atom
**Formation energy (no corrections)**: 2.47 eV/atom
**Calculated volume**: 96.6 Å³ per cell

=====

[12]
This record from Alexandria via LeMat-Bulk describes ScBOs2Ru after structural relaxation. The functional is PBE-GGA.

The structure in extended XYZ format:
```
5
Lattice="-3.141 -1.346 -3.276 2.987 -0.948 -2.474 0.056 -4.397 1.753" Properties=species:S:1:pos:R:3 pbc="T T T"
B 1.493 -0.474 -1.237
Sc -0.049 -3.346 -1.999
Ru 0.000 0.000 0.000
Os -1.571 -0.673 -1.638
Os 0.028 -2.199 0.876
```

**Uncorrected energy**: -7.7508 eV per atom
**Calculated volume**: 89.5 Å³ per cell
**DFT formation energy**: 1198 meV/atom

=====

[13]
This record from Alexandria via LeMat-Bulk describes SiBOsRu after structural relaxation. The functional is PBE-GGA.

The structure in extended XYZ format:
```
4
Lattice="4.025 0.000 0.000 2.013 3.486 0.000 2.013 1.162 3.287" Properties=species:S:1:pos:R:3 pbc="T T T"
Os 0.000 0.000 0.000
Si 2.013 1.162 0.822
B 6.038 3.486 2.465
Ru 4.025 2.324 1.643
```

**Uncorrected energy**: -8.1946 eV per atom
**Formation energy (no corrections)**: -0.04 eV/atom
**Calculated volume**: 46.1 Å³ per cell

=====

[14]
This record from Alexandria via LeMat-Bulk describes SmB2OsRu after structural relaxation. The functional is PBE-GGA.

The structure in extended XYZ format:
```
5
Lattice="-3.584 0.685 -1.705 -1.806 -0.629 3.544 3.096 4.649 0.114" Properties=species:S:1:pos:R:3 pbc="T T T"
B -2.550 1.719 1.293
B 0.256 2.986 0.660
Ru -0.702 2.024 2.289
Os -1.591 2.681 -0.336
Sm 0.000 0.000 0.000
```

**Uncorrected energy**: -8.1367 eV per atom
**Calculated volume**: 77.9 Å³ per cell
**DFT formation energy**: -421 meV/atom

=====

[15]
This record from Alexandria via LeMat-Bulk describes SrBOs2Ru after structural relaxation. The functional is PBE-GGA.

The structure in extended XYZ format:
```
5
Lattice="4.119 0.000 0.000 0.000 4.904 0.000 0.000 0.000 4.119" Properties=species:S:1:pos:R:3 pbc="T T T"
B 0.000 0.000 0.000
Os 2.059 0.000 0.000
Os 0.000 0.000 2.059
Sr 0.000 2.452 0.000
Ru 2.059 2.452 2.059
```

**Uncorrected energy**: -7.1490 eV per atom
**Calculated volume**: 83.2 Å³ per cell
**DFT formation energy**: 870 meV/atom

=====

[16]
This record from Alexandria via LeMat-Bulk describes TbB2OsRu after structural relaxation. The functional is PBE-GGA.

The structure in extended XYZ format:
```
5
Lattice="4.023 0.000 0.000 0.000 4.023 0.000 -2.012 -2.012 4.689" Properties=species:S:1:pos:R:3 pbc="T T T"
Tb 0.000 0.000 0.000
Os 0.000 2.012 2.345
Ru 2.012 0.000 2.345
B 2.012 2.012 1.679
B 0.000 0.000 3.010
```

**Uncorrected energy**: -8.1365 eV per atom
**Calculated volume**: 75.9 Å³ per cell
**DFT formation energy**: -438 meV/atom

=====

[17]
This record from Alexandria via LeMat-Bulk describes ThB2OsRu after structural relaxation. The functional is PBE-GGA.

The structure in extended XYZ format:
```
5
Lattice="4.000 0.000 0.000 0.000 4.000 0.000 -2.000 -2.000 4.803" Properties=species:S:1:pos:R:3 pbc="T T T"
Ru 0.000 2.000 2.402
B 0.000 0.000 3.202
B 2.000 2.000 1.602
Th 0.000 0.000 0.000
Os 2.000 0.000 2.402
```

**Uncorrected energy**: -8.7122 eV per atom
**Calculated volume**: 76.9 Å³ per cell
**DFT formation energy**: -456 meV/atom

=====

[18]
This record from Alexandria via LeMat-Bulk describes Th2B12Os3Ru after structural relaxation. The functional is PBE-GGA.

The structure in extended XYZ format:
```
18
Lattice="7.976 1.281 0.908 5.053 6.303 0.908 5.053 2.941 5.649" Properties=species:S:1:pos:R:3 pbc="T T T"
Os 2.526 1.471 2.824
Os 2.526 3.152 0.454
Os 3.988 0.640 0.454
Th 6.635 3.862 2.740
Th 11.447 6.663 4.726
B 4.672 1.688 2.290
B 5.908 1.532 1.086
B 12.174 8.994 6.379
B 4.249 4.381 1.086
B 13.833 6.144 6.379
B 13.410 7.806 6.629
B 4.672 2.719 0.836
B 13.410 8.837 5.175
B 3.775 3.229 2.290
B 4.249 2.473 3.775
B 13.833 8.052 3.690
B 14.307 7.297 5.175
Ru 0.000 0.000 0.000
```

**Uncorrected energy**: -7.5696 eV per atom
**Calculated volume**: 216.6 Å³ per cell
**DFT formation energy**: 93 meV/atom

=====

[19]
This record from Alexandria via LeMat-Bulk describes TmB2OsRu after structural relaxation. The functional is PBE-GGA.

The structure in extended XYZ format:
```
5
Lattice="4.018 0.000 0.000 0.000 4.018 0.000 -2.009 -2.009 4.570" Properties=species:S:1:pos:R:3 pbc="T T T"
Ru 0.000 2.009 2.285
Os 2.009 0.000 2.285
Tm 0.000 0.000 0.000
B 2.009 2.009 1.619
B 0.000 0.000 2.952
```

**Uncorrected energy**: -8.1054 eV per atom
**Calculated volume**: 73.8 Å³ per cell
**DFT formation energy**: -439 meV/atom

=====

[20]
This record from Alexandria via LeMat-Bulk describes ZrBOs2Ru after structural relaxation. The functional is PBE-GGA.

The structure in extended XYZ format:
```
5
Lattice="-0.919 2.941 -2.781 -4.001 -0.227 1.082 0.614 2.918 2.883" Properties=species:S:1:pos:R:3 pbc="T T T"
Zr -2.153 2.816 0.592
Os -0.459 1.471 -1.391
Os -2.001 -0.113 0.541
Ru 0.307 1.459 1.441
B 0.000 0.000 0.000
```

**Uncorrected energy**: -9.7425 eV per atom
**Calculated volume**: 71.5 Å³ per cell
**DFT formation energy**: -350 meV/atom

=====

[21]
This record from Alexandria via LeMat-Bulk describes B3OsS after structural relaxation. The functional is PBE-GGA.

The structure in extended XYZ format:
```
5
Lattice="4.145 0.000 0.000 0.000 4.145 0.000 0.000 0.000 4.145" Properties=species:S:1:pos:R:3 pbc="T T T"
B 0.000 2.073 0.000
B 0.000 0.000 2.073
B 2.073 0.000 0.000
Os 0.000 0.000 0.000
S 2.073 2.073 2.073
```

**Energy above the lowest structure with this stoichiometry**: 0.000 eV/atom
**Uncorrected energy**: -5.6827 eV per atom
**Formation energy (no corrections)**: 1.40 eV/atom
**Calculated volume**: 71.2 Å³ per cell

=====

[22]
This record from Alexandria via LeMat-Bulk describes BOs3S after structural relaxation. The functional is PBE-GGA.

The structure in extended XYZ format:
```
5
Lattice="-2.765 -0.229 -3.029 -2.487 -2.181 2.436 -1.744 3.474 1.330" Properties=species:S:1:pos:R:3 pbc="T T T"
Os -1.383 -0.114 -1.515
Os -1.244 -1.091 1.218
Os -0.872 1.737 0.665
B 0.000 0.000 0.000
S -3.498 0.532 0.368
```

**Energy above the lowest structure with this stoichiometry**: 0.000 eV/atom
**Uncorrected energy**: -7.9071 eV per atom
**Formation energy (no corrections)**: 0.99 eV/atom
**Calculated volume**: 69.3 Å³ per cell

=====

[23]
This record from Alexandria via LeMat-Bulk describes B2OsS6 after structural relaxation. The functional is PBE-GGA.

The structure in extended XYZ format:
```
18
Lattice="5.832 -0.222 -0.215 1.409 7.176 0.305 1.409 0.537 7.162" Properties=species:S:1:pos:R:3 pbc="T T T"
S 3.253 6.295 7.186
S 4.606 2.123 2.974
S 2.481 0.215 1.301
S 5.397 1.196 0.066
S 1.690 3.152 2.133
S 6.959 4.339 5.119
S 3.776 3.352 6.443
S 4.043 5.368 4.278
S 6.169 7.276 5.951
S 4.874 4.139 0.809
S 6.692 6.437 3.034
S 1.958 1.054 4.218
B 5.846 5.832 4.714
B 5.720 2.479 1.469
B 2.930 5.012 5.783
B 2.804 1.659 2.538
Os 2.867 1.325 6.238
Os 5.783 6.166 1.014
```

**Uncorrected energy**: -5.6112 eV per atom
**Formation energy (no corrections)**: -0.13 eV/atom
**Calculated volume**: 302.9 Å³ per cell

=====

[24]
This record from Alexandria via LeMat-Bulk describes BOsS4 after structural relaxation. The functional is PBE-GGA.

The structure in extended XYZ format:
```
12
Lattice="4.686 0.000 0.000 -2.343 5.874 -0.063 0.000 -1.991 9.429" Properties=species:S:1:pos:R:3 pbc="T T T"
B 2.343 4.514 1.837
B 0.000 -0.631 7.529
S 0.000 1.068 -0.005
S 2.343 -0.484 7.671
S 2.343 2.815 9.370
S 2.343 2.693 2.307
S 2.343 3.787 6.350
S 0.000 0.096 3.016
S 0.000 4.367 1.694
S 0.000 1.190 7.059
Os 0.000 2.143 1.855
Os 2.343 1.739 7.511
```

**Uncorrected energy**: -5.5875 eV per atom
**Formation energy (no corrections)**: 0.15 eV/atom
**Calculated volume**: 258.9 Å³ per cell

=====

[25]
This record from Alexandria via LeMat-Bulk describes BOs2S after structural relaxation. The functional is PBE-GGA.

The structure in extended XYZ format:
```
4
Lattice="0.127 -2.832 2.880 -3.265 -0.721 2.271 -2.062 -3.445 -0.461" Properties=species:S:1:pos:R:3 pbc="T T T"
Os -1.300 -1.750 1.172
Os -3.900 -5.249 3.517
B 0.000 0.000 0.000
S -2.600 -3.499 2.345
```

**Energy above the lowest structure with this stoichiometry**: 0.226 eV/atom
**Uncorrected energy**: -7.6839 eV per atom
**Formation energy (no corrections)**: 0.63 eV/atom
**Calculated volume**: 46.7 Å³ per cell

=====

[26]
This record from Alexandria via LeMat-Bulk describes BOs2S after structural relaxation. The functional is PBE-GGA.

The structure in extended XYZ format:
```
8
Lattice="-2.961 -2.633 -3.061 0.606 -4.042 2.891 -5.049 -2.039 2.543" Properties=species:S:1:pos:R:3 pbc="T T T"
Os -5.866 -7.247 1.671
Os -4.651 -4.155 1.932
Os -1.344 -3.445 1.967
Os -2.947 -2.580 -0.823
S 0.000 0.000 0.000
S -4.593 -4.005 -0.301
B -2.810 -4.709 2.675
B -1.177 -3.338 -0.085
```

**Energy above the lowest structure with this stoichiometry**: 0.000 eV/atom
**Uncorrected energy**: -7.9097 eV per atom
**Formation energy (no corrections)**: 0.41 eV/atom
**Calculated volume**: 121.7 Å³ per cell